Model i:
# Ce2HfTl

Crystalline Ce2HfTl at its relaxed geometry (PBE-GGA, Alexandria).

a = 3.1764 Å, b = 3.1764 Å, c = 11.9066 Å
α = 82.33°, β = 82.33°, γ = 60.00°
Last column: nearest neighbours and their distance in Å.
Fractional coordinates of all 4 atoms:
1 Tl 0.5000 0.5000 0.5000  6 Tl 3.18, 6 Ce 3.45
2 Hf 0.0000 0.0000 0.0000  2 Ce 2.95, 6 Hf 3.18
3 Ce 0.9163 0.9163 0.2511  1 Hf 2.95, 6 Ce 3.18
4 Ce 0.0837 0.0837 0.7489  1 Hf 2.95, 6 Ce 3.18

* SG: R-3m



Model ii:
# Ce2HfTl

Crystalline Ce2HfTl at its relaxed geometry (PBE-GGA, Alexandria).

a = 3.2425 Å, b = 3.2425 Å, c = 10.0578 Å
α = 90.00°, β = 90.00°, γ = 90.00°
Last column: nearest neighbours and their distance in Å.
Fractional coordinates of all 4 atoms:
1 Ce 0.0000 0.0000 0.2414  4 Ce 3.24, 4 Hf 3.34, 4 Tl 3.47
2 Tl 0.5000 0.5000 0.5000  4 Tl 3.24, 8 Ce 3.47
3 Ce 0.0000 0.0000 0.7586  4 Ce 3.24, 4 Hf 3.34, 4 Tl 3.47
4 Hf 0.5000 0.5000 0.0000  4 Hf 3.24, 8 Ce 3.34

* SG: P4/mmm



model ii comes first in stability; the runner-up is 221 meV per atom higher.



Model i:
# CeHfTl

Crystalline CeHfTl at its relaxed geometry (PBE-GGA, Alexandria).

a = 3.1525 Å, b = 5.2218 Å, c = 5.2218 Å
α = 120.00°, β = 90.00°, γ = 90.00°
Last column: nearest neighbours and their distance in Å.
Fractional coordinates of all 3 atoms:
1 Ce 0.1672 0.3333 0.6667  3 Hf 3.01, 2 Ce 3.15
2 Hf 0.1654 0.0000 0.0000  3 Ce 3.01, 2 Hf 3.15
3 Tl 0.6675 0.6667 0.3333  2 Tl 3.15, 6 Hf 3.40-3.41, 6 Ce 3.40

* SG: P3m1



Model ii:
# CeHfTl

Crystalline CeHfTl at its relaxed geometry (PBE-GGA, Alexandria).

a = 3.2481 Å, b = 6.8640 Å, c = 11.4745 Å
α = 136.63°, β = 115.17°, γ = 62.02°
Last column: nearest neighbours and their distance in Å.
Fractional coordinates of all 6 atoms:
1 Tl 0.9954 0.7539 0.9974  3 Hf 3.19-3.24, 6 Tl 3.25-3.52, 3 Ce 3.37-3.44
2 Tl 0.0046 0.2461 0.0026  3 Hf 3.19-3.24, 6 Tl 3.25-3.52, 3 Ce 3.37-3.44
3 Ce 0.1864 0.0339 0.6451  1 Ce 2.76
4 Ce 0.8136 0.9661 0.3549  1 Ce 2.76
5 Hf 0.8054 0.4356 0.3316  3 Hf 3.04-3.25, 3 Tl 3.19-3.24, 2 Ce 3.28-3.29
6 Hf 0.1946 0.5644 0.6684  3 Hf 3.04-3.25, 3 Tl 3.19-3.24, 2 Ce 3.28-3.29

* SG: P-1



Model iii:
# CeHfTl

Crystalline CeHfTl at its relaxed geometry (PBE-GGA, Alexandria).

a = 3.2117 Å, b = 3.2117 Å, c = 7.7042 Å
α = 102.03°, β = 102.03°, γ = 90.00°
Last column: nearest neighbours and their distance in Å.
Fractional coordinates of all 3 atoms:
1 Ce 0.9954 0.9954 0.9908  4 Ce 3.21, 4 Hf 3.31, 4 Tl 3.46
2 Hf 0.3315 0.3315 0.6631  4 Hf 3.21, 4 Tl 3.26, 4 Ce 3.31
3 Tl 0.6730 0.6730 0.3461  4 Tl 3.21, 4 Hf 3.26, 4 Ce 3.46

* SG: I4mm



model iii comes first in stability; the runner-up is 23 meV per atom higher.